(1)
Here is an optimized crystal structure of PrDy3Tl from Alexandria via LeMat-Bulk. Energies are from PBE.

a = 13.0130 Å, b = 13.0130 Å, c = 4.8549 Å
α = 90.00°, β = 90.00°, γ = 158.30°
Closest atoms and distances in Å follow each position.
Positions (direct):
1 Pr 0.1474 0.8526 0.7500  4 Tl 3.45, 8 Dy 3.48-3.58
2 Pr 0.8526 0.1474 0.2500  4 Tl 3.45, 8 Dy 3.48-3.58
3 Dy 0.0464 0.9536 0.2500  8 Dy 3.39-3.49, 2 Pr 3.54, 2 Tl 3.69
4 Dy 0.2506 0.7494 0.2500  4 Tl 3.43-3.47, 4 Dy 3.45, 4 Pr 3.58
5 Dy 0.4490 0.5510 0.2500  8 Dy 3.45-3.56, 2 Pr 3.48, 2 Tl 3.59
6 Dy 0.5510 0.4490 0.7500  8 Dy 3.45-3.56, 2 Pr 3.48, 2 Tl 3.59
7 Dy 0.7494 0.2506 0.7500  4 Tl 3.43-3.47, 4 Dy 3.45, 4 Pr 3.58
8 Dy 0.9536 0.0464 0.7500  8 Dy 3.39-3.49, 2 Pr 3.54, 2 Tl 3.69
9 Tl 0.3456 0.6544 0.7500  8 Dy 3.43-3.69, 4 Pr 3.45
10 Tl 0.6544 0.3456 0.2500  8 Dy 3.43-3.69, 4 Pr 3.45

Mass density: 9.1 Mg/m³
Symmetry: Cmcm, No. 63
Uncorrected energy: -4.3053 eV per atom
Spin magnetization: 0.00 μB/f.u.
DFT formation energy: -115 meV/atom



(2)
Here is an optimized crystal structure of PrDy8Tl6 from Alexandria via LeMat-Bulk. Energies are from PBE.

a = 8.3798 Å, b = 8.3798 Å, c = 8.3798 Å
α = 66.23°, β = 66.23°, γ = 66.23°
Closest atoms and distances in Å follow each position.
Positions (direct):
1 Pr 0.0000 0.0000 0.0000  6 Tl 3.36, 6 Dy 3.71
2 Dy 0.1114 0.7785 0.4394  5 Tl 3.11-3.39
3 Dy 0.2215 0.5606 0.8886  5 Tl 3.11-3.39
4 Dy 0.3322 0.3322 0.3322  6 Tl 3.26-3.27
5 Dy 0.4394 0.1114 0.7785  5 Tl 3.11-3.39
6 Dy 0.5606 0.8886 0.2215  5 Tl 3.11-3.39
7 Dy 0.6678 0.6678 0.6678  6 Tl 3.26-3.27
8 Dy 0.7785 0.4394 0.1114  5 Tl 3.11-3.39
9 Dy 0.8886 0.2215 0.5606  5 Tl 3.11-3.39
10 Tl 0.0639 0.4048 0.7231  7 Dy 3.11-3.39, 1 Pr 3.36
11 Tl 0.2769 0.9361 0.5952  7 Dy 3.11-3.39, 1 Pr 3.36
12 Tl 0.4048 0.7231 0.0639  7 Dy 3.11-3.39, 1 Pr 3.36
13 Tl 0.5952 0.2769 0.9361  7 Dy 3.11-3.39, 1 Pr 3.36
14 Tl 0.7231 0.0639 0.4048  7 Dy 3.11-3.39, 1 Pr 3.36
15 Tl 0.9361 0.5952 0.2769  7 Dy 3.11-3.39, 1 Pr 3.36

Mass density: 9.4 Mg/m³
Symmetry: R-3, No. 148
Uncorrected energy: -3.8527 eV per atom
Spin magnetization: 0.00 μB/f.u.
DFT formation energy: -133 meV/atom



(3)
Here is an optimized crystal structure of PrDy6Tl6 from Alexandria via LeMat-Bulk. Energies are from PBE.

a = 6.4412 Å, b = 6.4412 Å, c = 10.5823 Å
α = 90.00°, β = 90.00°, γ = 120.00°
Closest atoms and distances in Å follow each position.
Positions (direct):
1 Pr 0.0000 0.0000 0.0000  8 Dy 3.57-3.72
2 Dy 0.0000 0.0000 0.3372  6 Tl 3.36, 1 Dy 3.45, 1 Pr 3.57
3 Dy 0.0000 0.0000 0.6628  6 Tl 3.36, 1 Dy 3.45, 1 Pr 3.57
4 Dy 0.3333 0.6667 0.0000  6 Tl 3.20
5 Dy 0.3333 0.6667 0.5000  6 Tl 3.27
6 Dy 0.6667 0.3333 0.0000  6 Tl 3.20
7 Dy 0.6667 0.3333 0.5000  6 Tl 3.27
8 Tl 0.0000 0.5000 0.2461  6 Dy 3.20-3.36, 4 Tl 3.22
9 Tl 0.0000 0.5000 0.7539  6 Dy 3.20-3.36, 4 Tl 3.22
10 Tl 0.5000 0.0000 0.2461  6 Dy 3.20-3.36, 4 Tl 3.22
11 Tl 0.5000 0.0000 0.7539  6 Dy 3.20-3.36, 4 Tl 3.22
12 Tl 0.5000 0.5000 0.2461  6 Dy 3.20-3.36, 4 Tl 3.22
13 Tl 0.5000 0.5000 0.7539  6 Dy 3.20-3.36, 4 Tl 3.22

Mass density: 10.2 Mg/m³
Symmetry: P6/mmm, No. 191
Uncorrected energy: -3.7870 eV per atom
Spin magnetization: 1.23 μB/f.u.
DFT formation energy: -203 meV/atom



(4)
Here is an optimized crystal structure of Pr2DyTl2 from Alexandria via LeMat-Bulk. Energies are from PBE.

a = 9.2762 Å, b = 9.2762 Å, c = 6.7161 Å
α = 90.00°, β = 90.00°, γ = 147.87°
Closest atoms and distances in Å follow each position.
Positions (direct):
1 Pr 0.0081 0.9919 0.5000  5 Tl 3.30-3.55, 2 Pr 3.37, 4 Dy 3.60-3.67
2 Pr 0.2017 0.7983 0.9599  6 Tl 3.18-3.53
3 Pr 0.7983 0.2017 0.4599  6 Tl 3.18-3.53
4 Pr 0.9919 0.0081 0.0000  5 Tl 3.30-3.55, 2 Pr 3.37, 4 Dy 3.60-3.67
5 Dy 0.3910 0.6090 0.7380  5 Tl 3.30-3.57, 7 Pr 3.58-3.69
6 Dy 0.6090 0.3910 0.2380  5 Tl 3.30-3.57, 7 Pr 3.58-3.69
7 Tl 0.1930 0.8070 0.4685  5 Pr 3.18-3.42, 2 Dy 3.35
8 Tl 0.4087 0.5913 0.2488  3 Dy 3.30-3.57, 6 Pr 3.40-3.55, 2 Tl 3.66
9 Tl 0.5913 0.4087 0.7488  3 Dy 3.30-3.57, 6 Pr 3.40-3.55, 2 Tl 3.66
10 Tl 0.8070 0.1930 0.9685  5 Pr 3.18-3.42, 2 Dy 3.35

Mass density: 9.2 Mg/m³
Symmetry: Cmc2_1, No. 36
Uncorrected energy: -4.0225 eV per atom
Spin magnetization: 0.00 μB/f.u.
DFT formation energy: -244 meV/atom



(5)
Here is an optimized crystal structure of Pr3Dy3Tl from Alexandria via LeMat-Bulk. Energies are from PBE.

a = 9.5907 Å, b = 9.5907 Å, c = 5.6557 Å
α = 90.00°, β = 90.00°, γ = 120.00°
Closest atoms and distances in Å follow each position.
Positions (direct):
1 Pr 0.1067 0.6329 0.2500  3 Tl 3.48-3.73, 4 Pr 3.52-3.67, 5 Dy 3.52-3.84
2 Pr 0.3671 0.4738 0.2500  3 Tl 3.48-3.73, 4 Pr 3.52-3.67, 5 Dy 3.52-3.84
3 Pr 0.4738 0.1067 0.7500  3 Tl 3.48-3.73, 4 Pr 3.52-3.67, 5 Dy 3.52-3.84
4 Pr 0.5262 0.8933 0.2500  3 Tl 3.48-3.73, 4 Pr 3.52-3.67, 5 Dy 3.52-3.84
5 Pr 0.6329 0.5262 0.7500  3 Tl 3.48-3.73, 4 Pr 3.52-3.67, 5 Dy 3.52-3.84
6 Pr 0.8933 0.3671 0.7500  3 Tl 3.48-3.73, 4 Pr 3.52-3.67, 5 Dy 3.52-3.84
7 Dy 0.0588 0.8238 0.7500  6 Dy 3.48-3.52, 5 Pr 3.52-3.84, 1 Tl 3.63
8 Dy 0.1762 0.2350 0.7500  6 Dy 3.48-3.52, 5 Pr 3.52-3.84, 1 Tl 3.63
9 Dy 0.2350 0.0588 0.2500  6 Dy 3.48-3.52, 5 Pr 3.52-3.84, 1 Tl 3.63
10 Dy 0.7650 0.9412 0.7500  6 Dy 3.48-3.52, 5 Pr 3.52-3.84, 1 Tl 3.63
11 Dy 0.8238 0.7650 0.2500  6 Dy 3.48-3.52, 5 Pr 3.52-3.84, 1 Tl 3.63
12 Dy 0.9412 0.1762 0.2500  6 Dy 3.48-3.52, 5 Pr 3.52-3.84, 1 Tl 3.63
13 Tl 0.3333 0.6667 0.7500  9 Pr 3.48-3.73, 3 Dy 3.63
14 Tl 0.6667 0.3333 0.2500  9 Pr 3.48-3.73, 3 Dy 3.63

Mass density: 8.2 Mg/m³
Symmetry: P6_3/m, No. 176
Uncorrected energy: -4.4318 eV per atom
Spin magnetization: 0.00 μB/f.u.
DFT formation energy: -73 meV/atom



(6)
Here is an optimized crystal structure of Pr2DyTl from Alexandria via LeMat-Bulk. Energies are from PBE.

a = 3.6967 Å, b = 3.6967 Å, c = 9.5252 Å
α = 90.00°, β = 90.00°, γ = 90.00°
Closest atoms and distances in Å follow each position.
Positions (direct):
1 Pr 0.0000 0.0000 0.2312  4 Tl 3.42, 4 Dy 3.66, 4 Pr 3.70
2 Pr 0.0000 0.0000 0.7688  4 Tl 3.42, 4 Dy 3.66, 4 Pr 3.70
3 Dy 0.5000 0.5000 0.5000  8 Pr 3.66, 4 Dy 3.70
4 Tl 0.5000 0.5000 0.0000  8 Pr 3.42, 4 Tl 3.70

Mass density: 8.3 Mg/m³
Symmetry: P4/mmm, No. 123
Uncorrected energy: -4.2767 eV per atom
Spin magnetization: 0.00 μB/f.u.
DFT formation energy: -145 meV/atom



(7)
Here is an optimized crystal structure of Pr2Dy3Tl from Alexandria via LeMat-Bulk. Energies are from PBE.

a = 9.5354 Å, b = 9.5354 Å, c = 9.5354 Å
α = 148.54°, β = 121.57°, γ = 67.88°
Closest atoms and distances in Å follow each position.
Positions (direct):
1 Pr 0.2768 0.0268 0.2500  2 Pr 3.49, 8 Dy 3.50-3.68, 2 Tl 3.75
2 Pr 0.4249 0.6749 0.7500  4 Pr 3.49-3.51, 8 Dy 3.62-3.76
3 Pr 0.5751 0.3251 0.2500  4 Pr 3.49-3.51, 8 Dy 3.62-3.76
4 Pr 0.7232 0.9732 0.7500  2 Pr 3.49, 8 Dy 3.50-3.68, 2 Tl 3.75
5 Dy 0.0000 0.5000 0.5000  2 Tl 3.26, 6 Pr 3.50-3.62
6 Dy 0.1285 0.1713 0.9571  3 Tl 3.25-3.49, 1 Pr 3.56, 2 Dy 3.59
7 Dy 0.2858 0.8287 0.4571  3 Tl 3.25-3.49, 1 Pr 3.56, 2 Dy 3.59
8 Dy 0.5000 0.5000 0.0000  2 Tl 3.26, 6 Pr 3.50-3.62
9 Dy 0.7142 0.1713 0.5429  3 Tl 3.25-3.49, 1 Pr 3.56, 2 Dy 3.59
10 Dy 0.8715 0.8287 0.0429  3 Tl 3.25-3.49, 1 Pr 3.56, 2 Dy 3.59
11 Tl 0.1053 0.3553 0.7500  8 Dy 3.25-3.49
12 Tl 0.8947 0.6447 0.2500  8 Dy 3.25-3.49

Mass density: 8.5 Mg/m³
Symmetry: Imma, No. 74
Uncorrected energy: -4.3853 eV per atom
Spin magnetization: 0.00 μB/f.u.
DFT formation energy: -97 meV/atom



(8)
Here is an optimized crystal structure of Pr12Dy7Tl from Alexandria via LeMat-Bulk. Energies are from PBE.

a = 8.8171 Å, b = 8.8171 Å, c = 8.8171 Å
α = 89.09°, β = 89.09°, γ = 89.09°
Closest atoms and distances in Å follow each position.
Positions (direct):
1 Pr 0.0077 0.8846 0.3583  4 Pr 3.25-3.51, 1 Dy 3.31
2 Pr 0.1154 0.6417 0.9923  4 Pr 3.25-3.51, 1 Dy 3.31
3 Pr 0.2347 0.3681 0.7607  5 Pr 3.31-3.67, 1 Tl 3.45, 2 Dy 3.66-3.69
4 Pr 0.2394 0.7653 0.6319  5 Pr 3.31-3.67, 1 Tl 3.45, 2 Dy 3.66-3.69
5 Pr 0.3583 0.0077 0.8846  4 Pr 3.25-3.51, 1 Dy 3.31
6 Pr 0.3681 0.7606 0.2347  5 Pr 3.31-3.67, 1 Tl 3.45, 2 Dy 3.66-3.69
7 Pr 0.6319 0.2393 0.7653  5 Pr 3.31-3.67, 1 Tl 3.45, 2 Dy 3.66-3.69
8 Pr 0.6417 0.9923 0.1154  4 Pr 3.25-3.51, 1 Dy 3.31
9 Pr 0.7607 0.2347 0.3681  5 Pr 3.31-3.67, 1 Tl 3.45, 2 Dy 3.66-3.69
10 Pr 0.7653 0.6319 0.2394  5 Pr 3.31-3.67, 1 Tl 3.45, 2 Dy 3.66-3.69
11 Pr 0.8846 0.3583 0.0077  4 Pr 3.25-3.51, 1 Dy 3.31
12 Pr 0.9923 0.1154 0.6417  4 Pr 3.25-3.51, 1 Dy 3.31
13 Dy 0.0000 0.0000 0.0000  6 Pr 3.31
14 Dy 0.1197 0.4376 0.3551  3 Dy 3.47-3.53, 6 Pr 3.65-3.81, 1 Tl 3.66
15 Dy 0.3551 0.1197 0.4376  3 Dy 3.47-3.53, 6 Pr 3.65-3.81, 1 Tl 3.66
16 Dy 0.4376 0.3551 0.1197  3 Dy 3.47-3.53, 6 Pr 3.65-3.81, 1 Tl 3.66
17 Dy 0.5624 0.6449 0.8803  3 Dy 3.47-3.53, 6 Pr 3.65-3.81, 1 Tl 3.66
18 Dy 0.6449 0.8803 0.5624  3 Dy 3.47-3.53, 6 Pr 3.65-3.81, 1 Tl 3.66
19 Dy 0.8803 0.5624 0.6449  3 Dy 3.47-3.53, 6 Pr 3.65-3.81, 1 Tl 3.66
20 Tl 0.5000 0.5000 0.5000  6 Pr 3.45, 6 Dy 3.66

Mass density: 7.3 Mg/m³
Symmetry: R-3, No. 148
Uncorrected energy: -4.4447 eV per atom
Spin magnetization: 0.00 μB/f.u.
DFT formation energy: 152 meV/atom